This record from the Open Quantum Materials Database describes a geometry-optimized Sm2GdTa2As6 structure. The functional is PBE.

Calculated values
- space group = I4/mmm (139)
- energy (eV per formula unit) = -73.673

```
Sm2GdTa2As6
1.0
-2.4314 2.4314 11.7418
2.4314 -2.4314 11.7418
2.4314 2.4314 -11.7418
Sm Gd Ta As
2 1 2 6
Cartesian
0.0000 0.0000 3.8381
0.0000 0.0000 19.6455
0.0000 0.0000 0.0000
0.0000 0.0000 9.1658
0.0000 0.0000 14.3178
2.4314 0.0000 1.8595
0.0000 0.0000 6.7712
2.4314 0.0000 9.8823
0.0000 2.4314 1.8595
0.0000 0.0000 16.7124
0.0000 2.4314 9.8823
```